# 1
A geometry-optimized AgHg3O3 structure. Source: Alexandria, functional PBE.

Cell: 7.7780 7.7780 4.6100 Å, 90.00 90.00 120.00°
Fractional coordinates of all 14 atoms:
Ag1 0.3333 0.6667 0.2500
Ag2 0.6667 0.3333 0.7500
Hg1 0.0571 0.3519 0.7500
Hg2 0.2948 0.9429 0.7500
Hg3 0.3519 0.2948 0.2500
Hg4 0.6481 0.7052 0.7500
Hg5 0.7052 0.0571 0.2500
Hg6 0.9429 0.6481 0.2500
O1 0.0328 0.3460 0.2500
O2 0.3131 0.9672 0.2500
O3 0.3460 0.3131 0.7500
O4 0.6540 0.6869 0.2500
O5 0.6869 0.0328 0.7500
O6 0.9672 0.6540 0.7500

Computed properties:
E_tot: -2.706 eV per atom
ΔE_f (raw): -44.0 meV/atom

# 2
A geometry-optimized LaCr3 structure. Source: Alexandria, functional PBE.

Cell: 9.6469 9.6469 9.6469 Å, 154.88 154.88 35.82°
Fractional coordinates of all 8 atoms:
La1 0.1236 0.1236 0.0000
La2 0.8764 0.8764 0.0000
Cr1 0.0000 0.5000 0.5000
Cr2 0.2500 0.7500 0.5000
Cr3 0.3204 0.3204 0.0000
Cr4 0.5000 0.0000 0.5000
Cr5 0.6796 0.6796 0.0000
Cr6 0.7500 0.2500 0.5000

Computed properties:
Energy of formation: 704 meV/atom
E_tot: -7.746 eV per atom

# 3
A geometry-optimized Tl2HgCl structure. Source: Alexandria, functional PBE.

Cell: 10.0413 10.0413 10.0413 Å, 21.95 21.95 21.95°
Fractional coordinates of all 4 atoms:
Tl1 0.0000 0.0000 0.0000
Tl2 0.1824 0.1824 0.1824
Hg1 0.4237 0.4237 0.4237
Cl1 0.5917 0.5917 0.5917

Computed properties:
Offset from the most stable computed form: 0.067 eV/atom
E_tot: -2.100 eV per atom
ΔE_f (raw): -380.0 meV/atom

# 4
A geometry-optimized Hf2ZrTlB structure. Source: Alexandria, functional PBE.

Cell: 4.6146 4.6146 4.6744 Å, 90.00 90.00 90.00°
Fractional coordinates of all 5 atoms:
Hf1 0.0000 0.5000 0.0000
Hf2 0.5000 0.0000 0.0000
Zr1 0.0000 0.0000 0.5000
Tl1 0.5000 0.5000 0.5000
B1 0.0000 0.0000 0.0000

Computed properties:
Energy of formation: -288 meV/atom
E_tot: -7.787 eV per atom

# 5
A geometry-optimized Nd2HgS2O2 structure. Source: Alexandria, functional PBE.

Cell: 5.0699 5.0699 8.3910 Å, 90.00 90.00 120.00°
Fractional coordinates of all 7 atoms:
Nd1 0.3333 0.6667 0.1393
Nd2 0.6667 0.3333 0.8607
Hg1 0.0000 0.0000 0.5000
S1 0.0000 0.0000 0.1286
S2 0.0000 0.0000 0.8714
O1 0.3333 0.6667 0.8948
O2 0.6667 0.3333 0.1052

Computed properties:
E_tot: -5.475 eV per atom
ΔE_f (raw): -1474.0 meV/atom

# 6
A geometry-optimized ZnPH4NO4 structure. Source: Alexandria, functional PBE.

Cell: 10.8428 10.8428 8.7743 Å, 90.00 90.00 120.00°
Fractional coordinates of all 88 atoms:
Zn1 0.1484 0.8206 0.0000
Zn2 0.1794 0.3278 0.0000
Zn3 0.3278 0.1484 0.5000
Zn4 0.3333 0.6667 0.6207
Zn5 0.6667 0.3333 0.1207
Zn6 0.6722 0.8516 0.0000
Zn7 0.8206 0.6722 0.5000
Zn8 0.8516 0.1794 0.5000
P1 0.1463 0.8178 0.6195
P2 0.1822 0.3285 0.6195
P3 0.3285 0.1463 0.1195
P4 0.3333 0.6667 0.0119
P5 0.6667 0.3333 0.5119
P6 0.6715 0.8537 0.6195
P7 0.8178 0.6715 0.1195
P8 0.8537 0.1822 0.1195
H1 0.0000 0.0000 0.2008
H2 0.0000 0.0000 0.7008
H3 0.0097 0.5893 0.2359
H4 0.0195 0.5691 0.8134
H5 0.0280 0.9281 0.3613
H6 0.0719 0.0999 0.3613
H7 0.0985 0.5931 0.3966
H8 0.0999 0.0280 0.8613
H9 0.1322 0.5377 0.2250
H10 0.4055 0.8678 0.2250
H11 0.4069 0.5054 0.3966
H12 0.4107 0.4204 0.2359
H13 0.4204 0.0097 0.7359
H14 0.4309 0.4505 0.8134
H15 0.4505 0.0195 0.3134
H16 0.4623 0.5945 0.2250
H17 0.4946 0.9015 0.3966
H18 0.5054 0.0985 0.8966
H19 0.5377 0.4055 0.7250
H20 0.5495 0.9805 0.8134
H21 0.5691 0.5495 0.3134
H22 0.5796 0.9903 0.2359
H23 0.5893 0.5796 0.7359
H24 0.5931 0.4946 0.8966
H25 0.5945 0.1322 0.7250
H26 0.8678 0.4623 0.7250
H27 0.9001 0.9720 0.3613
H28 0.9015 0.4069 0.8966
H29 0.9281 0.9001 0.8613
H30 0.9720 0.0719 0.8613
H31 0.9805 0.4309 0.3134
H32 0.9903 0.4107 0.7359
N1 0.0000 0.0000 0.3176
N2 0.0000 0.0000 0.8176
N3 0.0541 0.5373 0.2957
N4 0.4627 0.5168 0.2957
N5 0.4832 0.9459 0.2957
N6 0.5168 0.0541 0.7957
N7 0.5373 0.4832 0.7957
N8 0.9459 0.4627 0.7957
O1 0.0240 0.8140 0.5225
O2 0.0270 0.3008 0.6205
O3 0.0936 0.7686 0.7848
O4 0.1860 0.2100 0.5225
O5 0.1913 0.7151 0.5460
O6 0.2100 0.0240 0.0225
O7 0.2279 0.5161 0.0776
O8 0.2314 0.3250 0.7848
O9 0.2738 0.9730 0.6205
O10 0.2849 0.4761 0.5460
O11 0.2881 0.7721 0.0776
O12 0.3008 0.2738 0.1205
O13 0.3250 0.0936 0.2848
O14 0.3333 0.6667 0.8392
O15 0.4761 0.1913 0.0460
O16 0.4839 0.7119 0.0776
O17 0.5161 0.2881 0.5776
O18 0.5239 0.8087 0.5460
O19 0.6667 0.3333 0.3392
O20 0.6750 0.9064 0.7848
O21 0.6992 0.7262 0.6205
O22 0.7119 0.2279 0.5776
O23 0.7151 0.5239 0.0460
O24 0.7262 0.0270 0.1205
O25 0.7686 0.6750 0.2848
O26 0.7721 0.4839 0.5776
O27 0.7900 0.9760 0.5225
O28 0.8087 0.2849 0.0460
O29 0.8140 0.7900 0.0225
O30 0.9064 0.2314 0.2848
O31 0.9730 0.6992 0.1205
O32 0.9760 0.1860 0.0225

Computed properties:
E_tot: -5.736 eV per atom

# 7
A geometry-optimized Y2TaRu structure. Source: Alexandria, functional PBE.

Cell: 3.2742 3.2742 8.6093 Å, 90.00 90.00 90.00°
Fractional coordinates of all 4 atoms:
Y1 0.0000 0.0000 0.0000
Y2 0.5000 0.5000 0.3605
Ta1 0.5000 0.5000 0.7441
Ru1 0.0000 0.0000 0.5851

Computed properties:
Energy of formation: -109 meV/atom
Offset from the most stable computed form: 0.000 eV/atom
E_tot: -8.623 eV per atom

# 8
A geometry-optimized KGaS3 structure. Source: Alexandria, functional PBE.

Cell: 5.6919 5.6919 5.6919 Å, 90.00 90.00 90.00°
Fractional coordinates of all 5 atoms:
K1 0.0000 0.0000 0.0000
Ga1 0.5000 0.5000 0.5000
S1 0.0000 0.0000 0.5000
S2 0.0000 0.5000 0.0000
S3 0.5000 0.0000 0.0000

Computed properties:
E_tot: -2.386 eV per atom
ΔE_f (raw): 915.6 meV/atom

# 9
A geometry-optimized Ga4Sn3Pt4 structure. Source: Alexandria, functional PBE.

Cell: 8.4359 8.4359 8.4359 Å, 155.24 122.89 63.18°
Fractional coordinates of all 11 atoms:
Ga1 0.0221 0.8266 0.1956
Ga2 0.3690 0.1734 0.1956
Ga3 0.6310 0.8266 0.8044
Ga4 0.9779 0.1734 0.8044
Sn1 0.0000 0.5000 0.5000
Sn2 0.3962 0.3962 0.0000
Sn3 0.6038 0.6038 0.0000
Pt1 0.2404 0.7404 0.5000
Pt2 0.2738 0.0000 0.2738
Pt3 0.7262 0.0000 0.7262
Pt4 0.7596 0.2596 0.5000

Computed properties:
Energy of formation: -414 meV/atom
E_tot: -4.803 eV per atom

# 10
A geometry-optimized TiZn2BPd structure. Source: Alexandria, functional PBE.

Cell: 4.6752 4.6752 3.9770 Å, 90.00 90.00 90.00°
Fractional coordinates of all 5 atoms:
Ti1 0.0000 0.0000 0.0000
Zn1 0.0000 0.5000 0.5000
Zn2 0.5000 0.0000 0.5000
B1 0.5000 0.5000 0.0000
Pd1 0.5000 0.5000 0.5000

Computed properties:
Energy of formation: 623 meV/atom
E_tot: -3.840 eV per atom

# 11
A geometry-optimized Ba4CdSe structure. Source: Alexandria, functional PBE.

Cell: 7.2595 7.2595 7.2595 Å, 60.00 60.00 60.00°
Fractional coordinates of all 6 atoms:
Ba1 0.3759 0.3759 0.3759
Ba2 0.3759 0.3759 0.8722
Ba3 0.3759 0.8722 0.3759
Ba4 0.8722 0.3759 0.3759
Cd1 0.0000 0.0000 0.0000
Se1 0.7500 0.7500 0.7500

Computed properties:
E_tot: -1.887 eV per atom
ΔE_f (raw): 128.4 meV/atom

Total magnetization across the listed records, respectively: 0.0 7.9 0.0 0.0 0.0 0.0 0.0 4.0 0.0 0.0 1.5 μB/cell.